Density functional theory data (PBE-GGA) for a geometry-optimized Mg2InRu structure.

POSCAR file:
```
Mg2InRu
1.0
-1.626 -8.613 -3.273
-0.186 -7.388 -5.738
1.478 -8.589 -3.405
In Mg Ru
1 2 1
direct
0.250 0.250 0.250
0.490 0.490 0.490
0.010 0.010 0.010
0.750 0.750 0.750
```

## Properties
Energy of formation from the pure elements: 0.459 eV/f.u.
Spin magnetization: 0.10 μB/f.u.
Space-group type: No. 166

***

Density functional theory data (PBE-GGA) for a geometry-optimized Be2Re2Os structure.

POSCAR file:
```
Be2Re2Os
1.0
6.205 0.000 0.000
0.000 6.205 0.000
0.000 0.000 3.041
Be Re Os
4 4 2
direct
0.377 0.877 0.000
0.623 0.123 0.000
0.123 0.377 0.000
0.877 0.623 0.000
0.832 0.332 0.500
0.168 0.668 0.500
0.332 0.168 0.500
0.668 0.832 0.500
0.500 0.500 0.000
0.000 0.000 0.000
```

## Properties
Energy of formation from the pure elements: -0.421 eV/f.u.
Spin magnetization: 0.00 μB/f.u.
Space-group type: No. 127

***

Density functional theory data (PBE-GGA) for a geometry-optimized Ce2Ga12Cu structure.

POSCAR file:
```
Ce2Ga12Cu
1.0
-4.325 1.184 4.206
2.494 -4.191 3.743
8.928 10.797 6.141
Ga Cu Ce
24 2 4
direct
0.500 0.500 0.659
0.250 0.750 0.086
0.500 0.500 0.818
0.829 0.329 0.572
0.000 0.000 0.818
0.171 0.329 0.428
0.829 0.671 0.428
0.000 0.000 0.182
0.000 0.000 0.341
0.329 0.829 0.428
0.750 0.250 0.086
0.500 0.500 0.341
0.171 0.671 0.572
0.750 0.250 0.914
0.671 0.829 0.572
0.250 0.750 0.914
0.750 0.750 0.914
0.329 0.171 0.572
0.250 0.250 0.086
0.750 0.750 0.086
0.000 0.000 0.659
0.250 0.250 0.914
0.500 0.500 0.182
0.671 0.171 0.428
0.500 0.000 0.000
0.000 0.500 0.000
0.000 0.500 0.244
0.500 0.000 0.756
0.000 0.500 0.756
0.500 0.000 0.244
```

## Properties
Energy of formation from the pure elements: -5.063 eV/f.u.
Spin magnetization: 1.25 μB/f.u.
Space-group type: No. 125